# 1
GdTlSe2 | SCAN | PBEsol geometry

abc: 4.1366 4.1366 7.9545
angles: 74.93 74.93 60.00
Site moments in Bohr magnetons follow the coordinates.
Atoms (fractional coordinates):
1 Gd 0.5000 0.5000 0.5000  -7.02
2 Tl 0.0000 0.0000 0.0000  0.01
3 Se 0.7634 0.7634 0.7098  0.04
4 Se 0.2366 0.2366 0.2902  0.04

Its space group is R-3m (166). The formation energy (no corrections) comes out at -1.510 eV per atom.

---

# 2
Re2TeMo | SCAN | PBEsol geometry

abc: 3.1538 4.5142 4.5142
angles: 90.00 90.00 90.00
Atoms (fractional coordinates):
1 Re 0.0000 0.0000 0.5000
2 Te 0.5000 0.5000 0.5000
3 Mo 0.5000 0.0000 0.0000
4 Re 0.0000 0.5000 0.0000

Its space group is P4/mmm (123). The formation energy (no corrections) comes out at 0.639 eV per atom.

---

# 3
CoTe2N | SCAN | PBEsol geometry

abc: 3.2229 3.2229 8.2760
angles: 78.77 78.77 60.00
Site moments in Bohr magnetons follow the coordinates.
Atoms (fractional coordinates):
1 Co 0.0000 0.0000 0.0000  1.71
2 N 0.5000 0.5000 0.5000  0.00
3 Te 0.0997 0.0997 0.7008  -0.02
4 Te 0.9003 0.9003 0.2992  -0.02

Its space group is R-3m (166). The formation energy (no corrections) comes out at 1.277 eV per atom.

---

# 4
MgFeNi6 | SCAN | PBEsol geometry

abc: 6.1045 6.1045 9.9929
angles: 90.00 90.00 109.62
Site moments in Bohr magnetons follow the coordinates.
Atoms (fractional coordinates):
1 Ni 0.1174 0.3708 0.6211  0.73
2 Fe 0.2535 0.7465 0.5000  3.14
3 Ni 0.8826 0.6292 0.6211  0.73
4 Ni 0.8807 0.6344 0.1294  0.60
5 Ni 0.3708 0.1174 0.6211  0.73
6 Ni 0.5000 0.5000 0.5000  0.69
7 Mg 0.7461 0.2539 0.0000  -0.03
8 Ni 0.3656 0.1193 0.1294  0.60
9 Ni 0.6344 0.8807 0.1294  0.60
10 Ni 0.1193 0.3656 0.8706  0.60
11 Fe 0.7465 0.2535 0.5000  3.14
12 Ni 0.1174 0.3708 0.3789  0.73
13 Ni 0.3708 0.1174 0.3789  0.73
14 Ni 0.6344 0.8807 0.8706  0.60
15 Ni 0.6292 0.8826 0.6211  0.73
16 Ni 0.2465 0.7535 0.7428  0.67
17 Fe 0.0000 0.0000 0.7507  3.13
18 Ni 0.7535 0.2465 0.7428  0.67
19 Ni 0.5000 0.5000 0.0000  0.49
20 Mg 0.5000 0.5000 0.2505  -0.03
21 Mg 0.2539 0.7461 0.0000  -0.03
22 Mg 0.5000 0.5000 0.7495  -0.03
23 Ni 0.0000 0.0000 0.5000  0.78
24 Ni 0.8826 0.6292 0.3789  0.73
25 Ni 0.0000 0.0000 0.0000  0.63
26 Ni 0.1193 0.3656 0.1294  0.60
27 Ni 0.3656 0.1193 0.8706  0.60
28 Ni 0.7535 0.2465 0.2572  0.67
29 Fe 0.0000 0.0000 0.2493  3.13
30 Ni 0.2465 0.7535 0.2572  0.67
31 Ni 0.6292 0.8826 0.3789  0.73
32 Ni 0.8807 0.6344 0.8706  0.60

Its space group is Cmmm (65). For the formation energy, the calculation gives -0.118 eV/atom.

---

# 5
YAlCo2 | SCAN | PBEsol geometry

abc: 3.6660 3.6884 4.9967
angles: 90.00 111.52 90.00
Atoms (fractional coordinates):
1 Co 0.1975 0.0000 0.3950
2 Y 0.4718 0.0000 0.9436
3 Co 0.0670 0.5000 0.1341
4 Al 0.7635 0.5000 0.5270

Its space group is Amm2 (38). For the formation energy, the calculation gives -0.051 eV/atom.

---

# 6
K2InReAs | SCAN | PBEsol geometry

abc: 4.6565 6.2526 6.2526
angles: 90.00 90.00 90.00
Site moments in Bohr magnetons follow the coordinates.
Atoms (fractional coordinates):
1 K 0.0000 0.0000 0.5000  0.02
2 As 0.5000 0.0000 0.0000  -0.10
3 In 0.5000 0.5000 0.5000  0.04
4 Re 0.0000 0.0000 0.0000  1.38
5 K 0.0000 0.5000 0.0000  0.02

Its space group is P4/mmm (123). For the formation energy, the calculation gives 0.746 eV/atom.